Entry 1:
# Er4IBrN2 | OQMD | PBE | relaxed
# **Raw total energy**: -48.5 eV per formula unit
# **ρ**: 9.6 g/cm3
data_Er4IBrN2
_symmetry_space_group_name_H-M 'P 1'
_symmetry_Int_Tables_number 1
_cell_length_a 3.5840
_cell_length_b 3.5840
_cell_length_c 14.1066
_cell_angle_alpha 90.00
_cell_angle_beta 90.00
_cell_angle_gamma 120.00
loop_
_symmetry_equiv_pos_as_xyz
'x,y,z'
loop_
_atom_site_label
_atom_site_type_symbol
_atom_site_fract_x
_atom_site_fract_y
_atom_site_fract_z
_atom_site_occupancy
Er1 Er 0.0000 0.0000 0.1587 1
Er2 Er 0.0000 0.0000 0.8413 1
Er3 Er 0.6667 0.3333 0.3314 1
Er4 Er 0.6667 0.3333 0.6686 1
I1 I 0.0000 0.0000 0.5000 1
Br1 Br 0.6667 0.3333 0.0000 1
N1 N 0.3333 0.6667 0.2389 1
N2 N 0.3333 0.6667 0.7611 1


Entry 2:
# TaW2Au2 | OQMD | PBE | relaxed
# **Raw total energy**: -41.2 eV per formula unit
# **ρ**: 17.5 g/cm3
# **ΔE_f**: 0.63 eV per atom
data_TaW2Au2
_symmetry_space_group_name_H-M 'P 1'
_symmetry_Int_Tables_number 1
_cell_length_a 3.7014
_cell_length_b 3.7014
_cell_length_c 13.0682
_cell_angle_alpha 90.00
_cell_angle_beta 90.00
_cell_angle_gamma 90.00
loop_
_symmetry_equiv_pos_as_xyz
'x,y,z'
loop_
_atom_site_label
_atom_site_type_symbol
_atom_site_fract_x
_atom_site_fract_y
_atom_site_fract_z
_atom_site_occupancy
Ta1 Ta 0.0000 0.0000 0.0000 1
Ta2 Ta 0.5000 0.5000 0.5000 1
W1 W 0.0000 0.5000 0.2500 1
W2 W 0.0000 0.5000 0.7500 1
W3 W 0.5000 0.0000 0.2500 1
W4 W 0.5000 0.0000 0.7500 1
Au1 Au 0.0000 0.0000 0.4031 1
Au2 Au 0.0000 0.0000 0.5969 1
Au3 Au 0.5000 0.5000 0.0969 1
Au4 Au 0.5000 0.5000 0.9031 1